Here is a relaxed ZrSbCl2 crystal from Alexandria. Energies are from PBE.

Energy = -5.03 eV per atom
N(E_F) = 4.75 states/eV/f.u.

Geometry as POSCAR:
```
ZrSbCl2
1.0
2.9529 -6.0176 0.0000
2.9529 6.0176 0.0000
0.0000 0.0000 3.3942
Zr Sb Cl
1 1 2
Direct
0.0000 0.0000 0.0000
0.5000 0.5000 0.0000
0.1575 0.8425 0.5000
0.8425 0.1575 0.5000
```